# V2GaAu PBE-GGA relaxed
# E_form = -0.08 eV per atom
data_V2GaAu
_chemical_formula_sum 'V4 Ga2 Au2'
_space_group_name_H-M_alt 'P 4/n m m'
_space_group_IT_number 129
_cell_length_a 3.008
_cell_length_b 3.008
_cell_length_c 13.281
_cell_angle_alpha 90.00
_cell_angle_beta 90.00
_cell_angle_gamma 90.00
loop_
_space_group_symop_operation_xyz
'x,y,z'
'-x,-y,-z'
'-y+1/2,x,z'
'y+1/2,-x,-z'
'-x+1/2,-y+1/2,z'
'x+1/2,y+1/2,-z'
'y,-x+1/2,z'
'-y,x+1/2,-z'
'x+1/2,-y,-z'
'-x+1/2,y,z'
'-y,-x,-z'
'y,x,z'
'-x,y+1/2,-z'
'x,-y+1/2,z'
'y+1/2,x+1/2,-z'
'-y+1/2,-x+1/2,z'
loop_
_atom_site_label
_atom_site_type_symbol
_atom_site_fract_x
_atom_site_fract_y
_atom_site_fract_z
V1 V 0.250 0.250 0.044
V2 V 0.250 0.250 0.288
Ga1 Ga 0.250 0.250 0.835
Au1 Au 0.250 0.250 0.579